Below is La2AgAsRu after structural relaxation, with properties calculated at the PBEsol level.

a = 4.4987 Å, b = 5.6153 Å, c = 5.6153 Å
α = 90.00°, β = 90.00°, γ = 90.00°
Each line ends with the local moment (μB).
Positions (direct):
La1 0.0000 0.0000 0.5000  -0.09
La2 0.0000 0.5000 0.0000  -0.09
Ru1 0.5000 0.5000 0.5000  1.12
As1 0.5000 0.0000 0.0000  0.04
Ag1 0.0000 0.0000 0.0000  0.00

Properties
Its calculated formation energy is 719 meV/atom. Its density of states at the Fermi level is 4.5 states/eV/cell. The total energy is -5.137 eV/atom. The total moment is 0.1735 μB per atom.